This record from Alexandria describes AcEuGaSi after structural relaxation. The functional is PBE.

The density of states at the Fermi level comes out at 2.86 states/eV/f.u. The value obtained for the uncorrected formation energy is -0.386 eV per atom. The calculated total energy comes out at -6.09 eV per atom. The total magnetization is 28.42 μB per cell.

The space group is F-43m (No. 216) and the conventional cell measures 7.603, 7.603 and 7.603 Å, with angles of 90.00, 90.00 and 90.00 degrees. The distinct sites, in fractional coordinates, are Ac at (0.000, 0.000, 0.000), Eu at (0.000, 0.000, 0.500), Ga at (0.250, 0.250, 0.750) and Si at (0.250, 0.250, 0.250).